No. 1
The following is a DFT calculation (GGA-PBE) of crystalline Ac4Te5F at its relaxed geometry.

Calculated values
* VASP energy: -101.797 eV for the cell shown
* Fermi-level density of states: 0.228 states/eV per atom

Cell: 19.9569 4.5622 8.3109 Å, 90.00 95.06 90.00°
Closest atoms and distances in Å follow each position.
Space group C2/m (No. 12)
Asymmetric unit:
Ac: 0.0129 0.0000 0.2285 (multiplicity 4)  2 F 2.96, 2 Te 3.23
Ac: 0.2229 0.5000 0.2427 (multiplicity 4)  6 Te 3.24-3.41
Te: 0.0000 0.5000 0.5000 (multiplicity 2)  4 Ac 3.23
Te: 0.1448 0.0000 0.9842 (multiplicity 4)  5 Ac 3.38-3.47, 2 F 3.69
Te: 0.1586 0.0000 0.4648 (multiplicity 4)  4 Ac 3.24-3.36
F: 0.0000 0.5000 0.0000 (multiplicity 2)  4 Ac 2.96

=====

No. 2
The following is a DFT calculation (GGA-PBE) of crystalline Pr5URu4 at its relaxed geometry.

Calculated values
* VASP energy: -149.301 eV for the cell shown
* Fermi-level density of states: 0.837 states/eV per atom
* ΔE_f: -2.4 eV/f.u.

Cell: 18.0474 4.3478 7.4233 Å, 90.00 113.16 90.00°
Closest atoms and distances in Å follow each position.
Space group C2/m (No. 12)
Asymmetric unit:
Pr: 0.0000 0.0000 0.0000 (multiplicity 2)  6 Ru 3.15-3.47
Pr: 0.1627 0.5000 0.5404 (multiplicity 4)  3 Ru 2.94-3.00
Pr: 0.1749 0.5000 0.0585 (multiplicity 4)  4 Ru 2.91-3.13
U: 0.0000 0.0000 0.5000 (multiplicity 2)  6 Ru 2.51-2.62
Ru: 0.0142 0.5000 0.7085 (multiplicity 4)  2 U 2.62, 1 Ru 2.93
Ru: 0.1366 0.0000 0.7764 (multiplicity 4)  1 U 2.51

=====

No. 3
The following is a DFT calculation (GGA-PBE) of crystalline Cd3C2 at its relaxed geometry.

Calculated values
* VASP energy: -40.308 eV for the cell shown
* Fermi-level density of states: 0.683 states/eV per atom
* ΔE_f: 7.8 eV/f.u.

Cell: 3.5935 3.5935 22.3716 Å, 90.00 90.00 120.00°
Closest atoms and distances in Å follow each position.
Space group R-3m (No. 166, hexagonal axes)
Asymmetric unit:
Cd: 0.0000 0.0000 0.0000 (multiplicity 3)  6 C 2.53
Cd: 0.0000 0.0000 0.2208 (multiplicity 6)  3 C 2.33
C: 0.0000 0.0000 0.3983 (multiplicity 6)  6 Cd 2.33-2.53

=====

No. 4
The following is a DFT calculation (GGA-PBE) of crystalline NaPrCuPt at its relaxed geometry.

Calculated values
* VASP energy: -69.860 eV for the cell shown
* Fermi-level density of states: 0.703 states/eV per atom
* ΔE_f: -1.2 eV/f.u.

Cell: 7.0299 7.0299 7.0299 Å, 90.00 90.00 90.00°
Closest atoms and distances in Å follow each position.
Space group F-43m (No. 216)
Asymmetric unit:
Na: 0.0000 0.0000 0.0000 (multiplicity 4)  4 Cu 3.04, 4 Pt 3.04
Pr: 0.0000 0.0000 0.5000 (multiplicity 4)  4 Cu 3.04, 4 Pt 3.04
Cu: 0.2500 0.2500 0.2500 (multiplicity 4)  4 Na 3.04, 4 Pr 3.04
Pt: 0.2500 0.2500 0.7500 (multiplicity 4)  4 Na 3.04, 4 Pr 3.04

=====

No. 5
The following is a DFT calculation (GGA-PBE) of crystalline SrIn at its relaxed geometry.

Calculated values
* VASP energy: -20.754 eV for the cell shown
* Fermi-level density of states: 1.893 states/eV per atom
* ΔE_f: 1.0 eV/f.u.

Cell: 9.4447 9.4447 9.4447 Å, 90.00 90.00 90.00°
Closest atoms and distances in Å follow each position.
Space group Pm-3n (No. 223)
Asymmetric unit:
Sr: 0.0000 0.2500 0.5000 (multiplicity 6)  4 In 3.34
In: 0.0000 0.5000 0.2500 (multiplicity 6)  4 Sr 3.34

=====

No. 6
The following is a DFT calculation (GGA-PBE) of crystalline LiSmPuHg at its relaxed geometry.

Calculated values
* VASP energy: -84.891 eV for the cell shown
* Fermi-level density of states: 3.098 states/eV per atom
* ΔE_f: 0.0 eV/f.u.

Cell: 7.5020 7.5020 7.5020 Å, 90.00 90.00 90.00°
Closest atoms and distances in Å follow each position.
Space group F-43m (No. 216)
Asymmetric unit:
Li: 0.0000 0.0000 0.0000 (multiplicity 4)  4 Sm 3.25, 4 Pu 3.25
Sm: 0.2500 0.2500 0.2500 (multiplicity 4)  4 Hg 3.25, 4 Li 3.25
Pu: 0.2500 0.2500 0.7500 (multiplicity 4)  4 Hg 3.25, 4 Li 3.25
Hg: 0.0000 0.0000 0.5000 (multiplicity 4)  4 Pu 3.25, 4 Sm 3.25